Entry 1:
Here is a geometry-optimized La3PmDy2Tm6 structure from Alexandria via LeMat-Bulk. Energies are from PBE.

a = 6.2067 Å, b = 6.2067 Å, c = 11.7411 Å
α = 95.05°, β = 95.05°, γ = 119.98°
Closest atoms and distances in Å follow each position.
Positions (direct):
La (0.0000, 0.0000, 0.0000)  6 La 3.58, 6 Tm 3.59-3.60
La (0.3334, 0.6666, 0.0000)  6 La 3.58-3.59, 6 Tm 3.59-3.60
La (0.6666, 0.3334, 0.0000)  6 La 3.58-3.59, 6 Tm 3.59-3.60
Pm (0.5000, 0.5000, 0.5000)  6 Tm 3.51-3.52, 6 Dy 3.58
Dy (0.1668, 0.8332, 0.5000)  6 Tm 3.51, 3 Pm 3.58, 3 Dy 3.58-3.59
Dy (0.8332, 0.1668, 0.5000)  6 Tm 3.51, 3 Pm 3.58, 3 Dy 3.58-3.59
Tm (0.0847, 0.4184, 0.2544)  2 Dy 3.51, 1 Pm 3.51, 6 Tm 3.58-3.59, 3 La 3.59-3.60
Tm (0.2479, 0.2479, 0.7457)  2 Dy 3.51, 1 Pm 3.52, 6 Tm 3.58-3.59, 3 La 3.59-3.60
Tm (0.4184, 0.0847, 0.2544)  2 Dy 3.51, 1 Pm 3.51, 6 Tm 3.58-3.59, 3 La 3.59-3.60
Tm (0.5816, 0.9153, 0.7456)  2 Dy 3.51, 1 Pm 3.51, 6 Tm 3.58-3.59, 3 La 3.59-3.60
Tm (0.7521, 0.7521, 0.2543)  2 Dy 3.51, 1 Pm 3.52, 6 Tm 3.58-3.59, 3 La 3.59-3.60
Tm (0.9153, 0.5816, 0.7456)  2 Dy 3.51, 1 Pm 3.51, 6 Tm 3.58-3.59, 3 La 3.59-3.60

Calculated values
Size of the total moment, μB/f.u.: 0.00
Total energy, eV per cell: -55.29
SG: C2/m, No. 12
Formation enthalpy at 0 K, eV per formula unit: 0.3

Entry 2:
Here is a geometry-optimized Tl2AuBr4 structure from Alexandria via LeMat-Bulk. Energies are from PBE.

a = 8.8528 Å, b = 8.8528 Å, c = 8.8528 Å
α = 143.53°, β = 143.53°, γ = 52.53°
Closest atoms and distances in Å follow each position.
Positions (direct):
Tl (0.1326, 0.1326, 0.0000)  5 Br 3.21-3.48
Tl (0.8674, 0.8674, 0.0000)  5 Br 3.21-3.48
Au (0.5000, 0.5000, 0.0000)  6 Br 2.62-2.77
Br (0.0000, 0.5000, 0.5000)  2 Au 2.77
Br (0.3351, 0.3351, 0.0000)  1 Au 2.62
Br (0.5000, 0.0000, 0.5000)  2 Au 2.77
Br (0.6649, 0.6649, 0.0000)  1 Au 2.62

Calculated values
Size of the total moment, μB/f.u.: 0.00
Uncorrected formation energy, meV/atom: -504
Total energy, eV per cell: -18.23
SG: I4/mmm, No. 139

Entry 3:
Here is a geometry-optimized PmHoCdSb structure from Alexandria via LeMat-Bulk. Energies are from PBE.

a = 5.3558 Å, b = 5.3558 Å, c = 5.3558 Å
α = 60.00°, β = 60.00°, γ = 60.00°
Closest atoms and distances in Å follow each position.
Positions (direct):
Pm (0.0000, 0.0000, 0.0000)  4 Cd 3.28, 4 Sb 3.28
Ho (0.5000, 0.5000, 0.5000)  4 Cd 3.28, 4 Sb 3.28
Cd (0.2500, 0.2500, 0.2500)  4 Ho 3.28, 4 Pm 3.28
Sb (0.7500, 0.7500, 0.7500)  4 Ho 3.28, 4 Pm 3.28

Calculated values
Size of the total moment, μB/f.u.: 0.00
Uncorrected formation energy, meV/atom: -533
Total energy, eV per cell: -16.50
SG: F-43m, No. 216